# Pb2W

A relaxed Pb2W crystal (PBE, Alexandria via LeMat-Bulk).

The total magnetization comes out at 0.00 μB/cell. Its space group is P-62m (189). The electronic total energy comes out at -52.05 eV for the cell shown. The distance to the lowest polymorph of the same formula comes out at 0.424 eV/atom. For the density of states at the Fermi level, the calculation gives 6.40 states/eV/cell. As for the crystal system: hexagonal. Its energy relative to the elements is 1.0064 eV/atom.

Cell: 8.161 8.161 3.604 Å, 90.00 90.00 120.00°
Element x y z (fractional)
Pb: 0.605 0.000 0.500
Pb: 0.395 0.395 0.500
Pb: 0.271 0.000 0.000
Pb: 0.000 0.605 0.500
Pb: 0.000 0.271 0.000
Pb: 0.729 0.729 0.000
W: 0.333 0.667 0.000
W: 0.667 0.333 0.000
W: 0.000 0.000 0.500

---

# CaAl2Ir

A relaxed CaAl2Ir crystal (PBE, Alexandria via LeMat-Bulk).

The total magnetization comes out at 0.00 μB/cell. Its space group is P2/m (10). The electronic total energy comes out at -19.68 eV for the cell shown. For the density of states at the Fermi level, the calculation gives 1.81 states/eV/cell. As for the crystal system: monoclinic. Its energy relative to the elements is -0.3332 eV/atom.

Cell: 4.284 3.047 5.887 Å, 76.40 90.00 90.00°
Element x y z (fractional)
Al: 0.000 0.592 0.548
Al: 0.000 0.908 0.952
Ca: 0.500 0.250 0.250
Ir: 0.500 0.750 0.750

---

# Th2BeSi

A relaxed Th2BeSi crystal (PBE, Alexandria via LeMat-Bulk).

The total magnetization comes out at 0.00 μB/cell. Its space group is Amm2 (38). The electronic total energy comes out at -25.53 eV for the cell shown. The distance to the lowest polymorph of the same formula comes out at 0.000 eV/atom. For the density of states at the Fermi level, the calculation gives 3.87 states/eV/cell. The value obtained for the uncorrected formation energy is -385 meV/atom. As for the crystal system: orthorhombic.

Cell: 3.893 4.260 5.905 Å, 111.14 90.00 90.00°
Element x y z (fractional)
Th: 0.000 0.980 0.959
Th: 0.500 0.270 0.540
Be: 0.500 0.566 0.132
Si: 0.000 0.684 0.367

---

# YHo2Zn3

A relaxed YHo2Zn3 crystal (PBE, Alexandria via LeMat-Bulk).

The total magnetization comes out at 0.00 μB/cell. Its space group is Cmmm (65). The electronic total energy comes out at -21.54 eV for the cell shown. For the density of states at the Fermi level, the calculation gives 7.03 states/eV/cell. As for the crystal system: orthorhombic. Its energy relative to the elements is -0.3494 eV/atom.

Cell: 3.570 5.032 7.958 Å, 108.43 90.00 90.00°
Element x y z (fractional)
Zn: 0.500 0.832 0.664
Zn: 0.500 0.500 0.000
Zn: 0.500 0.168 0.336
Y: 0.000 0.000 0.000
Ho: 0.000 0.667 0.334
Ho: 0.000 0.333 0.666

---

# Ba2ReTc

A relaxed Ba2ReTc crystal (PBE, Alexandria via LeMat-Bulk).

The total magnetization comes out at 0.00 μB/cell. Its space group is C2/m (12). The electronic total energy comes out at -20.00 eV for the cell shown. The distance to the lowest polymorph of the same formula comes out at 1.290 eV/atom. For the density of states at the Fermi level, the calculation gives 5.59 states/eV/cell. As for the crystal system: monoclinic. Its energy relative to the elements is 1.6661 eV/atom.

Cell: 5.436 5.436 6.254 Å, 93.92 93.92 32.10°
Element x y z (fractional)
Tc: 0.250 0.250 0.250
Re: 0.750 0.750 0.750
Ba: 0.006 0.006 0.002
Ba: 0.494 0.494 0.498

---

# Hf4CdS8

A relaxed Hf4CdS8 crystal (PBE, Alexandria via LeMat-Bulk).

The total magnetization comes out at 0.00 μB/cell. Its space group is F-43m (216). The electronic total energy comes out at -92.11 eV for the cell shown. The distance to the lowest polymorph of the same formula comes out at 0.002 eV/atom. For the density of states at the Fermi level, the calculation gives 6.06 states/eV/cell. The value obtained for the uncorrected formation energy is -1412 meV/atom. As for the crystal system: cubic.

Cell: 7.492 7.492 7.492 Å, 60.00 60.00 60.00°
Element x y z (fractional)
S: 0.612 0.129 0.129
S: 0.614 0.614 0.159
S: 0.129 0.129 0.612
S: 0.614 0.159 0.614
S: 0.159 0.614 0.614
S: 0.614 0.614 0.614
S: 0.129 0.129 0.129
S: 0.129 0.612 0.129
Hf: 0.368 0.895 0.368
Hf: 0.368 0.368 0.895
Hf: 0.895 0.368 0.368
Hf: 0.368 0.368 0.368
Cd: 0.750 0.750 0.750

---

What did the first record say?
# Pb2W

A relaxed Pb2W crystal (PBE, Alexandria via LeMat-Bulk).

The total magnetization comes out at 0.00 μB/cell. Its space group is P-62m (189). The electronic total energy comes out at -52.05 eV for the cell shown. The distance to the lowest polymorph of the same formula comes out at 0.424 eV/atom. For the density of states at the Fermi level, the calculation gives 6.40 states/eV/cell. As for the crystal system: hexagonal. Its energy relative to the elements is 1.0064 eV/atom.

Cell: 8.161 8.161 3.604 Å, 90.00 90.00 120.00°
Element x y z (fractional)
Pb: 0.605 0.000 0.500
Pb: 0.395 0.395 0.500
Pb: 0.271 0.000 0.000
Pb: 0.000 0.605 0.500
Pb: 0.000 0.271 0.000
Pb: 0.729 0.729 0.000
W: 0.333 0.667 0.000
W: 0.667 0.333 0.000
W: 0.000 0.000 0.500